GGA-PBEsol YNi2Pt, optimized geometry; ρ = 11.09 g/cm3; space-group type = I-4m2; DFT total energy = -6.93 eV per atom; formation enthalpy at 0 K = -1.6 eV per formula unit
1.0
-2.4332 2.1774 2.0955
1.4110 -1.5616 3.2610
3.2594 2.5778 -2.4855
Ni Pt Y
2 1 1
Direct
0.7496 0.2496 0.4992
0.0002 0.0002 0.0005
0.5000 0.5000 0.0001
0.2502 0.7502 0.5003

***

GGA-PBEsol HfAgSN2, optimized geometry; ρ = 6.71 g/cm3; space-group type = P4/mmm; DFT total energy = -6.73 eV per atom
1.0
-3.6264 -1.7449 0.8863
1.3306 -0.8297 3.8108
-1.7593 4.4618 1.5857
S Ag N Hf
1 1 2 1
Direct
0.0000 0.0000 0.5000
0.5000 0.5000 0.5000
0.5000 0.0000 0.0000
0.0000 0.5000 0.0000
0.0000 0.0000 0.0000